# CaCo2Pb

An optimized crystal structure of CaCo2Pb (PBE-GGA, Alexandria).

The space group is C2/m (No. 12) and the conventional cell measures 7.807, 4.430 and 5.719 Å, with angles of 90.00, 117.33 and 90.00 degrees. The distinct sites, in fractional coordinates, are Ca at (0.000, 0.000, 0.000), Co at (0.184, 0.000, 0.543) and Pb at (0.000, 0.500, 0.500).

The value obtained for the calculated total energy is -4.809 eV per atom.

***

# CaCo2Pb

An optimized crystal structure of CaCo2Pb (PBE-GGA, Alexandria).

The space group is Cm (No. 8) and the conventional cell measures 10.393, 3.562 and 4.790 Å, with angles of 90.00, 117.25 and 90.00 degrees. The distinct sites, in fractional coordinates, are Ca at (0.000, 0.000, 0.000), Co at (0.298, 0.500, 0.299), Co at (0.448, 0.000, 0.448) and Pb at (0.212, 0.000, 0.712).

The value obtained for the calculated total energy is -4.724 eV per atom.

***

We obtain ΔE_f values of 0.17 0.26 eV/atom for the records listed above, in that order.